# 1
# AcSm7Y12 | Alexandria | GGA-PBE | relaxed
# Excess energy over the best structure of this formula in the dataset ... 0.0 kJ/mol of atoms
# Calculated formation energy ... 234 meV/atom
data_AcSm7Y12
_cell_length_a 12.2015
_cell_length_b 12.2015
_cell_length_c 16.1053
_cell_angle_alpha 90.00
_cell_angle_beta 90.00
_cell_angle_gamma 120.00
_space_group_name_H-M_alt 'R -3'
_space_group_IT_number 148
_space_group_name_Hall '-R 3'
loop_
_atom_site_label
_atom_site_fract_x
_atom_site_fract_y
_atom_site_fract_z
_atom_site_occupancy
Ac1 0.0000 0.0000 0.0000 1
Sm1 0.0000 0.0000 0.5000 1
Sm2 0.0483 0.8588 0.7957 1
Y1 0.0104 0.5692 0.7158 1
Y2 0.0508 0.4631 0.0848 1

=====

# 2
# TaCl | Alexandria | GGA-PBE | relaxed
# Energy relative to the elements, uncorrected ... -0.02 eV/atom
data_TaCl
_cell_length_a 3.259
_cell_length_b 4.529
_cell_length_c 6.727
_cell_angle_alpha 90.00
_cell_angle_beta 90.00
_cell_angle_gamma 90.00
_space_group_name_H-M_alt 'P m m n'
_space_group_IT_number 59
loop_
_space_group_symop_operation_xyz
'x,y,z'
'-x,-y,-z'
'-x+1/2,-y+1/2,z'
'x+1/2,y+1/2,-z'
'x+1/2,-y,-z'
'-x+1/2,y,z'
'-x,y+1/2,-z'
'x,-y+1/2,z'
loop_
_atom_site_label
_atom_site_fract_x
_atom_site_fract_y
_atom_site_fract_z
_atom_site_occupancy
Ta1 0.250 0.250 0.019 1
Cl1 0.250 0.750 0.261 1

=====

# 3
# La3Sm2Tm2 | Alexandria | GGA-PBE | relaxed
# Calculated formation energy ... 116 meV/atom
data_La3Sm2Tm2
_cell_length_a 17.844
_cell_length_b 3.536
_cell_length_c 8.647
_cell_angle_alpha 90.00
_cell_angle_beta 118.65
_cell_angle_gamma 90.00
_space_group_name_H-M_alt 'C 1 2/m 1'
_space_group_IT_number 12
_space_group_name_Hall '-C 2y'
loop_
_atom_site_label
_atom_site_fract_x
_atom_site_fract_y
_atom_site_fract_z
_atom_site_occupancy
La1 0.000 0.000 0.000 1
La2 0.214 0.000 0.292 1
Sm1 0.065 0.500 0.412 1
Tm1 0.144 0.000 0.826 1